Al24Co5: optimized geometry, PBE.

As for the raw total energy: -247.31 eV/cell. Its magnetic moment is 3.5 μB per cell. As for the volume: 922.9 Å³ per cell.

It has space group I-43m (No. 217), with a = 9.7361 Å, b = 9.7361 Å, c = 9.7361 Å, α = 90.00°, β = 90.00° and γ = 90.00°. The inequivalent atoms are Al at (0.0491, 0.3619, 0.6381), Al at (0.0889, 0.0889, 0.7214), Co at (0.0000, 0.0000, 0.0000) and Co at (0.2375, 0.2375, 0.2375).